# Li4Hf3NiSe8 | Alexandria | PBE | optimized geometry
# * final energy: -5.579 eV per atom
data_Li4Hf3NiSe8
_symmetry_space_group_name_H-M 'R -3 m'
_symmetry_Int_Tables_number 166
_symmetry_space_group_name_Hall '-R 3 2"'
_cell_length_a 7.5432
_cell_length_b 7.5432
_cell_length_c 19.3982
_cell_angle_alpha 90.00
_cell_angle_beta 90.00
_cell_angle_gamma 120.00
loop_
_atom_site_label
_atom_site_type_symbol
_atom_site_fract_x
_atom_site_fract_y
_atom_site_fract_z
Li1 Li 0.0000 0.0000 0.0000
Li2 Li 0.0000 0.5000 0.0000
Hf1 Hf 0.0000 0.5000 0.5000
Ni1 Ni 0.0000 0.0000 0.5000
Se1 Se 0.0000 0.0000 0.2495
Se2 Se 0.0069 0.5035 0.2462

---

# LiHf2TiNi | Alexandria | PBE | optimized geometry
# * energy of formation from the pure elements: 336.4 kJ/mol of formula units
data_LiHf2TiNi
_symmetry_space_group_name_H-M 'P 4/m m m'
_symmetry_Int_Tables_number 123
_symmetry_space_group_name_Hall '-P 4 2'
_cell_length_a 4.792
_cell_length_b 4.792
_cell_length_c 3.853
_cell_angle_alpha 90.00
_cell_angle_beta 90.00
_cell_angle_gamma 90.00
loop_
_atom_site_label
_atom_site_type_symbol
_atom_site_fract_x
_atom_site_fract_y
_atom_site_fract_z
Li1 Li 0.000 0.000 0.000
Hf1 Hf 0.000 0.500 0.000
Ti1 Ti 0.500 0.500 0.500
Ni1 Ni 0.000 0.000 0.500

---

Size of the total moment: 0.0846 0.5392 (μB/atom)